The following is a PBE calculation of a geometry-optimized KTiIBr4 structure, from Alexandria.

Geometry as POSCAR:
```
KTiIBr4
1.0
7.834 -1.370 0.281
1.303 7.846 0.281
2.196 1.556 11.382
K Ti Br I
2 2 8 2
Direct
0.788 0.788 0.038
0.212 0.212 0.962
0.355 0.355 0.272
0.645 0.645 0.728
0.517 0.174 0.159
0.826 0.483 0.841
0.552 0.552 0.307
0.448 0.448 0.693
0.794 0.794 0.546
0.483 0.826 0.841
0.174 0.517 0.159
0.206 0.206 0.454
0.978 0.978 0.213
0.022 0.022 0.787
```

## Properties
The volume comes out at 50.81 Å³ per atom. Its symmetry is No. 12. Its uncorrected formation energy is -1177 meV/atom. The total energy comes out at -50.9 eV/cell.



The following is a PBE calculation of a geometry-optimized KTlI2Br structure, from Alexandria.

Geometry as POSCAR:
```
KTlI2Br
1.0
6.212 0.000 0.000
0.000 6.212 0.000
0.000 0.000 5.841
I Br K Tl
2 1 1 1
Direct
0.000 0.500 0.000
0.500 0.000 0.000
0.000 0.000 0.500
0.500 0.500 0.500
0.000 0.000 0.000
```

## Properties
The volume comes out at 45.08 Å³ per atom. Its symmetry is No. 123. Its uncorrected formation energy is -825 meV/atom. The total energy comes out at -12.4 eV/cell.



The following is a PBE calculation of a geometry-optimized KTl2IBr4 structure, from Alexandria.

Geometry as POSCAR:
```
KTl2IBr4
1.0
9.603 0.892 -0.394
0.886 9.604 -0.394
-5.511 -5.515 7.815
K Br Tl I
2 8 4 2
Direct
0.000 0.500 0.500
0.000 0.500 0.000
0.751 0.750 0.062
0.221 0.773 0.998
0.273 0.721 0.498
0.750 0.749 0.438
0.249 0.250 0.938
0.727 0.279 0.502
0.779 0.227 0.002
0.250 0.251 0.562
0.500 0.000 0.000
0.000 0.000 0.500
0.500 0.500 0.000
0.500 0.000 0.500
0.500 0.500 0.500
0.000 0.000 0.000
```

## Properties
The volume comes out at 42.29 Å³ per atom. Its symmetry is No. 15. Its uncorrected formation energy is -822 meV/atom. The total energy comes out at -41.3 eV/cell.



The following is a PBE calculation of a geometry-optimized KTlIBr structure, from Alexandria.

Geometry as POSCAR:
```
KTlIBr
1.0
-1.840 -5.596 -0.337
3.403 -4.354 2.068
-1.563 -2.892 4.899
I Tl K Br
1 1 1 1
Direct
0.250 0.250 0.250
0.500 0.500 0.500
0.000 0.000 0.000
0.750 0.750 0.750
```

## Properties
The volume comes out at 36.30 Å³ per atom. Its symmetry is No. 216. Its uncorrected formation energy is -1122 meV/atom. The total energy comes out at -11.2 eV/cell. As for the relative energy among the computed polymorphs: 0.040 eV/atom.